Record 1
# Y2ZrCrFe

A relaxed Y2ZrCrFe crystal (PBE-GGA, Alexandria).

Cell: 5.266 5.266 4.172 Å, 90.00 90.00 90.00°
Space group P4/mmm (No. 123)
Inequivalent atoms, fractional coordinates:
Y: 0.000 0.500 0.000 (multiplicity 2)
Zr: 0.000 0.000 0.500 (multiplicity 1)
Cr: 0.500 0.500 0.500 (multiplicity 1)
Fe: 0.500 0.500 0.000 (multiplicity 1)

- Calculated formation energy: 0.61 eV/atom


Record 2
# Tb2NdHo4Th

A relaxed Tb2NdHo4Th crystal (PBE-GGA, Alexandria).

Cell: 5.051 5.069 9.984 Å, 90.00 90.00 90.00°
Space group Pmmm (No. 47)
Inequivalent atoms, fractional coordinates:
Tb: 0.000 0.000 0.000 (multiplicity 1)
Tb: 0.500 0.500 0.500 (multiplicity 1)
Nd: 0.000 0.000 0.500 (multiplicity 1)
Ho: 0.000 0.500 0.246 (multiplicity 2)
Ho: 0.500 0.000 0.246 (multiplicity 2)
Th: 0.500 0.500 0.000 (multiplicity 1)

- Calculated formation energy: 0.03 eV/atom


Record 3
# BaLiTeI2

A relaxed BaLiTeI2 crystal (PBE-GGA, Alexandria).

Cell: 6.729 6.729 6.746 Å, 90.00 90.00 90.00°
Space group P4/mmm (No. 123)
Inequivalent atoms, fractional coordinates:
Ba: 0.000 0.000 0.000 (multiplicity 1)
Li: 0.500 0.500 0.500 (multiplicity 1)
Te: 0.000 0.000 0.500 (multiplicity 1)
I: 0.000 0.500 0.000 (multiplicity 2)

- Excess energy over the best structure of this formula in the dataset: 352 meV/atom
- Raw formation energy: -0.720 eV/atom


Record 4
# Ac7Tb2Er2

A relaxed Ac7Tb2Er2 crystal (PBE-GGA, Alexandria).

Cell: 13.242 10.556 6.692 Å, 90.00 98.07 90.00°
Space group C2/m (No. 12)
Inequivalent atoms, fractional coordinates:
Ac: 0.000 0.000 0.000 (multiplicity 2)
Ac: 0.048 0.500 0.263 (multiplicity 4)
Ac: 0.240 0.327 0.750 (multiplicity 8)
Tb: 0.200 0.000 0.712 (multiplicity 4)
Er: 0.000 0.173 0.500 (multiplicity 4)

- Calculated formation energy: 0.26 eV/atom


Record 5
# Cr2SiMo4

A relaxed Cr2SiMo4 crystal (PBE-GGA, Alexandria).

Cell: 4.449 4.449 12.217 Å, 90.00 90.00 90.00°
Space group I4/mmm (No. 139)
Inequivalent atoms, fractional coordinates:
Cr: 0.000 0.000 0.123 (multiplicity 4)
Si: 0.000 0.000 0.500 (multiplicity 2)
Mo: 0.000 0.000 0.305 (multiplicity 4)
Mo: 0.000 0.500 0.000 (multiplicity 4)

- Raw formation energy: 1.091 eV/atom


Record 6
# K2TmReO6

A relaxed K2TmReO6 crystal (PBE-GGA, Alexandria).

Cell: 8.270 8.270 8.270 Å, 90.00 90.00 90.00°
Space group Fm-3m (No. 225)
Inequivalent atoms, fractional coordinates:
K: 0.250 0.250 0.250 (multiplicity 8)
Tm: 0.000 0.000 0.000 (multiplicity 4)
Re: 0.000 0.000 0.500 (multiplicity 4)
O: 0.000 0.000 0.270 (multiplicity 24)

- Raw formation energy: -2.258 eV/atom


Record 7
# ZnSiPt2

A relaxed ZnSiPt2 crystal (PBE-GGA, Alexandria).

Cell: 3.352 3.818 9.420 Å, 90.00 90.00 90.00°
Space group Imm2 (No. 44)
Inequivalent atoms, fractional coordinates:
Zn: 0.000 0.000 0.000 (multiplicity 2)
Si: 0.000 0.500 0.251 (multiplicity 2)
Pt: 0.000 0.000 0.567 (multiplicity 2)
Pt: 0.000 0.500 0.801 (multiplicity 2)

- Raw formation energy: -0.490 eV/atom


Record 8
# La2CuOs

A relaxed La2CuOs crystal (PBE-GGA, Alexandria).

Cell: 4.349 4.349 9.321 Å, 90.00 90.00 90.00°
Space group I-4m2 (No. 119)
Inequivalent atoms, fractional coordinates:
La: 0.000 0.000 0.000 (multiplicity 2)
La: 0.000 0.500 0.250 (multiplicity 2)
Cu: 0.000 0.000 0.500 (multiplicity 2)
Os: 0.000 0.500 0.750 (multiplicity 2)

- Calculated formation energy: 0.15 eV/atom